Computed, not measured: a crystal of CsNb3Cr relaxed with PBEsol at the meta-GGA SCAN level of DFT.

Cell lengths 4.789, 4.789, 4.789 Å; angles 90.00, 90.00, 90.00 degrees
Space group Pm-3m (No. 221)
Inequivalent atoms, fractional coordinates:
Cs 0.000 0.000 0.000 [1 per cell]
Nb 0.000 0.500 0.500 [3 per cell]
Cr 0.500 0.500 0.500 [1 per cell]

Output
- uncorrected energy (eV for the cell shown) = -148.01
- energy of formation from the pure elements (meV per atom) = 1514